a:
Density functional theory data (PBE) for crystalline GaTe2IrI at its relaxed geometry.

Geometry as POSCAR:
```
GaTe2IrI
1.0
-3.085 -1.409 3.996
-3.832 -1.182 -3.375
1.981 -5.374 -0.366
Ir I Te Ga
1 1 2 1
Cartesian
0.000 0.000 0.000 Ir
0.990 -2.687 -0.183 I
-1.916 -0.591 -1.688 Te
-1.543 -0.705 1.998 Te
-2.468 -3.983 0.128 Ga
```

Summary:
DOS at the Fermi energy	6.860	states/eV/f.u.


b:
Density functional theory data (PBE) for crystalline GaTe2IrI at its relaxed geometry.

Geometry as POSCAR:
```
GaTe2IrI
1.0
-4.381 0.082 -3.018
2.948 -1.035 -4.307
-0.653 -5.212 0.806
Te Ga Ir I
2 1 1 1
Cartesian
1.474 -0.518 -2.153 Te
-2.190 0.041 -1.509 Te
0.000 0.000 0.000 Ga
-1.043 -3.083 -3.259 Ir
-0.326 -2.606 0.403 I
```

Summary:
DOS at the Fermi energy	7.347	states/eV/f.u.


Most stable: a. Least stable: b.


a:
Density functional theory data (PBE) for crystalline GaTeIrI2 at its relaxed geometry.

Geometry as POSCAR:
```
GaTeIrI2
1.0
5.700 0.000 0.000
0.000 5.700 0.000
0.000 0.000 5.063
Te I Ir Ga
1 2 1 1
Cartesian
0.000 0.000 2.532 Te
2.850 0.000 0.000 I
0.000 2.850 0.000 I
0.000 0.000 0.000 Ir
2.850 2.850 2.532 Ga
```

Summary:
DOS at the Fermi energy	3.263	states/eV/f.u.


b:
Density functional theory data (PBE) for crystalline GaTeIrI2 at its relaxed geometry.

Geometry as POSCAR:
```
GaTeIrI2
1.0
-1.371 2.681 -4.512
-4.644 -2.792 -0.248
-2.470 3.839 3.032
Ga Te I Ir
1 1 2 1
Cartesian
0.000 0.000 0.000 Ga
-1.235 1.919 1.516 Te
-2.322 -1.396 -0.124 I
-0.686 1.341 -2.256 I
-4.242 1.864 -0.864 Ir
```

Summary:
DOS at the Fermi energy	6.874	states/eV/f.u.


Most stable: a. Least stable: b.


a:
Density functional theory data (PBE) for crystalline KGaI4 at its relaxed geometry.

Geometry as POSCAR:
```
KGaI4
1.0
8.347 0.000 0.000
0.000 8.419 0.073
0.000 1.525 16.571
I K Ga
16 4 4
Cartesian
1.345 0.634 5.658 I
2.118 5.035 16.049 I
7.002 9.310 10.986 I
5.310 1.779 6.773 I
3.037 8.165 9.871 I
6.229 4.909 0.595 I
5.105 6.085 12.912 I
3.242 3.859 3.733 I
0.931 4.621 12.018 I
2.828 1.396 13.944 I
7.210 2.542 15.059 I
1.136 7.402 1.586 I
2.056 4.272 7.764 I
7.415 5.323 4.626 I
6.291 5.672 8.880 I
5.518 8.548 2.701 I
8.301 7.538 14.271 K
0.046 2.406 2.373 K
4.127 3.168 10.659 K
4.219 6.776 5.985 K
7.152 6.565 2.363 Ga
2.979 2.617 5.995 Ga
5.368 7.327 10.649 Ga
1.194 3.379 14.281 Ga
```

Summary:
DOS at the Fermi energy	0.000	states/eV/f.u.


b:
Density functional theory data (PBE) for crystalline KGaI4 at its relaxed geometry.

Geometry as POSCAR:
```
KGaI4
1.0
-7.014 0.409 5.236
2.645 -7.272 4.110
4.273 5.673 -2.051
Ga K I
1 1 4
Cartesian
-2.184 -3.432 4.673 Ga
-2.463 1.325 3.929 K
0.847 0.056 3.257 I
1.833 2.820 0.109 I
0.338 -3.764 5.171 I
-3.210 -1.493 6.054 I
```

Summary:
DOS at the Fermi energy	0.000	states/eV/f.u.


Most stable: a. Least stable: b.


a:
Density functional theory data (PBE) for crystalline K2GaI at its relaxed geometry.

Geometry as POSCAR:
```
K2GaI
1.0
9.495 0.000 0.000
0.000 9.495 0.000
4.747 4.747 3.927
I K Ga
2 4 2
Cartesian
9.495 4.747 1.963 I
0.000 0.000 0.000 I
7.121 7.031 2.945 K
7.211 2.374 0.982 K
11.868 11.959 2.945 K
2.283 7.121 0.982 K
4.747 9.495 1.963 Ga
4.747 4.747 0.000 Ga
```

Summary:
DOS at the Fermi energy	0.354	states/eV/f.u.


b:
Density functional theory data (PBE) for crystalline K2GaI at its relaxed geometry.

Geometry as POSCAR:
```
K2GaI
1.0
0.000 4.319 4.319
4.319 0.000 4.319
4.319 4.319 0.000
K I Ga
2 1 1
Cartesian
6.478 6.478 6.478 K
2.159 2.159 2.159 K
4.319 4.319 4.319 I
0.000 0.000 0.000 Ga
```

Summary:
DOS at the Fermi energy	5.080	states/eV/f.u.


Most stable: a. Least stable: b.